Record 1
This record from Alexandria describes a geometry-optimized Cd2AgGeO structure. The functional is PBE.

Cell lengths 5.4443, 5.4443, 3.9090 Å; angles 90.00, 90.00, 90.00 degrees
Element x y z (fractional)
Ge  0.5000  0.5000  0.5000
O  0.0000  0.0000  0.5000
Ag  0.0000  0.0000  0.0000
Cd  0.0000  0.5000  0.0000
Cd  0.5000  0.0000  0.0000

## Properties
Space group: P4/mmm
Formation energy without anion corrections, eV per atom: 0.3678


Record 2
This record from Alexandria describes a geometry-optimized NdSmHgO structure. The functional is PBE.

Cell lengths 3.7566, 3.7828, 7.3738 Å; angles 104.86, 104.74, 89.96 degrees
Element x y z (fractional)
Nd  0.6692  0.1275  0.3385
Sm  0.9745  0.4327  0.9488
Hg  0.3223  0.7806  0.6447
O  0.5689  0.5271  0.1377

## Properties
Space group: Imm2
Formation energy without anion corrections, eV per atom: -1.6190


Record 3
This record from Alexandria describes a geometry-optimized LaThIrAu structure. The functional is PBE.

Cell lengths 4.1930, 4.1974, 7.6825 Å; angles 90.00, 105.84, 120.03 degrees
Element x y z (fractional)
La  0.4898  0.1428  0.6487
Th  0.1146  0.9553  0.0845
Ir  0.3094  0.5526  0.8776
Au  0.9642  0.3801  0.3589

## Properties
Space group: R3m
Relative energy among the computed polymorphs, eV per atom: 0.000
Formation energy, meV per atom: -816


Record 4
This record from Alexandria describes a geometry-optimized CaLaH2 structure. The functional is PBE.

Cell lengths 4.5901, 4.5901, 4.5901 Å; angles 60.00, 60.00, 60.00 degrees
Element x y z (fractional)
H  0.2500  0.2500  0.2500
H  0.7500  0.7500  0.7500
Ca  0.0000  0.0000  0.0000
La  0.5000  0.5000  0.5000

## Properties
Space group: Fm-3m
Relative energy among the computed polymorphs, eV per atom: 0.420


Record 5
This record from Alexandria describes a geometry-optimized AlTl4Fe structure. The functional is PBE.

Cell lengths 6.2397, 6.2397, 6.2397 Å; angles 60.00, 60.00, 60.00 degrees
Last column: magnetic moment on the atom in μB.
Element x y z (fractional)
Al  0.7500  0.7500  0.7500  0.00
Tl  0.8759  0.3747  0.3747  -0.02
Tl  0.3747  0.3747  0.8759  -0.02
Tl  0.3747  0.8759  0.3747  -0.02
Tl  0.3747  0.3747  0.3747  -0.02
Fe  0.0000  0.0000  0.0000  3.21

## Properties
Space group: F-43m
Formation energy, meV per atom: 807


Record 6
This record from Alexandria describes a geometry-optimized KZrMo2 structure. The functional is PBE.

Cell lengths 5.2999, 5.2999, 7.3676 Å; angles 89.50, 89.50, 29.09 degrees
Element x y z (fractional)
K  0.2500  0.2500  0.2500
Mo  0.0067  0.0067  0.9080
Mo  0.4933  0.4933  0.5920
Zr  0.7500  0.7500  0.7500

## Properties
Space group: C2/m
Relative energy among the computed polymorphs, eV per atom: 0.425
Formation energy, meV per atom: 979


Number 1: total energy -2.484 eV per atom, ρ 6038 kg/m3. Number 2: total energy -5.306 eV per atom, ρ 8687 kg/m3. Number 3: total energy -6.938 eV per atom, ρ 11362 kg/m3. Number 4: total energy -3.308 eV per atom, ρ 4395 kg/m3. Number 5: total energy -2.804 eV per atom, ρ 8704 kg/m3. Number 6: total energy -6.848 eV per atom, ρ 5318 kg/m3.